(1)
The following is a PBE calculation of a geometry-optimized K2CuCl structure, from the Alexandria database.

Computed properties:
Magnetization = 0.0 μB/cell
D(E_F) = 0.1 states/eV/f.u.
Energy above the most stable polymorph in this dataset = 17 meV per atom
E = -10.9 eV per cell
Density = 2.457 g cm⁻³

Cell lengths 3.8658, 3.8799, 7.9855 Å; angles 90.00, 90.00, 90.00 degrees
Sites, in units of the cell vectors:
K1 0.0000 0.0000 0.2344
K2 0.0000 0.0000 0.7656
Cu1 0.5000 0.5000 0.5000
Cl1 0.5000 0.5000 0.0000

***

(2)
The following is a PBE calculation of a geometry-optimized KCu2Cl structure, from the Alexandria database.

Computed properties:
Magnetization = 0.0 μB/cell
D(E_F) = 0.8 states/eV/f.u.
Energy above the most stable polymorph in this dataset = 213 meV per atom
E = -11.4 eV per cell
Density = 3.349 g cm⁻³

Cell lengths 3.9048, 3.9048, 6.5572 Å; angles 90.00, 90.00, 90.00 degrees
Sites, in units of the cell vectors:
K1 0.0000 0.0000 0.0000
Cu1 0.0000 0.5000 0.5000
Cu2 0.5000 0.0000 0.5000
Cl1 0.5000 0.5000 0.0000

***

(3)
The following is a PBE calculation of a geometry-optimized KCu2Cl3 structure, from the Alexandria database.

Computed properties:
Magnetization = 0.0 μB/cell
E = -40.2 eV per cell
Density = 3.072 g cm⁻³

Cell lengths 11.2248, 11.2248, 6.7457 Å; angles 100.03, 100.03, 20.63 degrees
Sites, in units of the cell vectors:
K1 0.1334 0.1334 0.4475
K2 0.8666 0.8666 0.5525
Cu1 0.2138 0.2138 0.0136
Cu2 0.4460 0.4460 0.0454
Cu3 0.5540 0.5540 0.9546
Cu4 0.7862 0.7862 0.9864
Cl1 0.1093 0.1093 0.9011
Cl2 0.2699 0.2699 0.7554
Cl3 0.4631 0.4631 0.7152
Cl4 0.5369 0.5369 0.2848
Cl5 0.7301 0.7301 0.2446
Cl6 0.8907 0.8907 0.0989

***

(4)
The following is a PBE calculation of a geometry-optimized KCu2Cl7 structure, from the Alexandria database.

Computed properties:
Magnetization = 0.0 μB/cell
D(E_F) = 6.1 states/eV/f.u.
E = -28.0 eV per cell
Density = 2.597 g cm⁻³

Cell lengths 9.7041, 9.7041, 4.0648 Å; angles 90.00, 90.00, 136.20 degrees
Sites, in units of the cell vectors:
K1 0.0000 0.0000 0.0000
Cu1 0.3701 0.6299 0.5000
Cu2 0.6299 0.3701 0.5000
Cl1 0.0508 0.2963 0.5000
Cl2 0.2963 0.0508 0.5000
Cl3 0.3145 0.6855 0.0000
Cl4 0.5000 0.5000 0.5000
Cl5 0.6855 0.3145 0.0000
Cl6 0.7037 0.9492 0.5000
Cl7 0.9492 0.7037 0.5000

***

(5)
The following is a PBE calculation of a geometry-optimized KCu2Cl structure, from the Alexandria database.

Computed properties:
Magnetization = 0.0 μB/cell
D(E_F) = 1.0 states/eV/f.u.
Energy above the most stable polymorph in this dataset = 3 meV per atom
E = -12.2 eV per cell
Density = 3.629 g cm⁻³

Cell lengths 3.5278, 3.5278, 7.4130 Å; angles 90.00, 90.00, 90.00 degrees
Sites, in units of the cell vectors:
K1 0.0000 0.0000 0.0000
Cu1 0.0000 0.0000 0.5850
Cu2 0.5000 0.5000 0.5364
Cl1 0.5000 0.5000 0.2153

***

(6)
The following is a PBE calculation of a geometry-optimized KCuCl4 structure, from the Alexandria database.

Computed properties:
Magnetization = 0.0 μB/cell
E = -18.0 eV per cell
Density = 2.176 g cm⁻³

Cell lengths 7.2828, 7.2828, 7.0131 Å; angles 118.21, 118.21, 35.28 degrees
Sites, in units of the cell vectors:
K1 0.0000 0.0000 0.0000
Cu1 0.5000 0.5000 0.5000
Cl1 0.3726 0.3726 0.1544
Cl2 0.3730 0.3730 0.5963
Cl3 0.6270 0.6270 0.4037
Cl4 0.6274 0.6274 0.8456

***

(7)
The following is a PBE calculation of a geometry-optimized K2CuCl structure, from the Alexandria database.

Computed properties:
Magnetization = 0.1 μB/cell
Energy above the most stable polymorph in this dataset = 125 meV per atom
E = -10.4 eV per cell
Density = 2.072 g cm⁻³

Cell lengths 7.7611, 7.7611, 7.7611 Å; angles 146.47, 146.47, 48.14 degrees
Sites, in units of the cell vectors:
K1 0.0000 0.0000 0.0000
K2 0.7500 0.2500 0.5000
Cu1 0.5000 0.5000 0.0000
Cl1 0.2500 0.7500 0.5000

***

(8)
The following is a PBE calculation of a geometry-optimized KCu2Cl structure, from the Alexandria database.

Computed properties:
Magnetization = 0.0 μB/cell
D(E_F) = 0.5 states/eV/f.u.
Energy above the most stable polymorph in this dataset = 477 meV per atom
E = -10.4 eV per cell
Density = 3.828 g cm⁻³

Cell lengths 4.9826, 4.9826, 4.9826 Å; angles 60.00, 60.00, 60.00 degrees
Sites, in units of the cell vectors:
K1 0.0000 0.0000 0.0000
Cu1 0.2500 0.2500 0.2500
Cu2 0.5000 0.5000 0.5000
Cl1 0.7500 0.7500 0.7500

***

(9)
The following is a PBE calculation of a geometry-optimized K2CuCl structure, from the Alexandria database.

Computed properties:
Magnetization = 0.0 μB/cell
D(E_F) = 0.0 states/eV/f.u.
Energy above the most stable polymorph in this dataset = 80 meV per atom
E = -21.2 eV per cell
Density = 1.810 g cm⁻³

Cell lengths 7.5327, 7.5327, 7.5327 Å; angles 113.23, 113.23, 102.20 degrees
Sites, in units of the cell vectors:
K1 0.1002 0.1250 0.4752
K2 0.3750 0.8998 0.0248
K3 0.6498 0.6250 0.5248
K4 0.8750 0.3502 0.9752
Cu1 0.2500 0.7500 0.5000
Cu2 0.5000 0.5000 0.0000
Cl1 0.0000 0.0000 0.0000
Cl2 0.7500 0.2500 0.5000

***

(10)
The following is a PBE calculation of a geometry-optimized K2CuCl structure, from the Alexandria database.

Computed properties:
Magnetization = 0.0 μB/cell
D(E_F) = 0.0 states/eV/f.u.
Energy above the most stable polymorph in this dataset = 49 meV per atom
E = -10.7 eV per cell
Density = 2.235 g cm⁻³

Cell lengths 5.1336, 6.5364, 6.5364 Å; angles 36.89, 90.00, 90.00 degrees
Sites, in units of the cell vectors:
K1 0.0000 0.0000 0.0000
K2 0.5000 0.2468 0.2468
Cu1 0.0000 0.7324 0.7324
Cl1 0.5000 0.5056 0.5056

***

(11)
The following is a PBE calculation of a geometry-optimized KCu2Cl structure, from the Alexandria database.

Computed properties:
Magnetization = 0.0 μB/cell
D(E_F) = 0.1 states/eV/f.u.
Energy above the most stable polymorph in this dataset = 182 meV per atom
E = -11.5 eV per cell
Density = 3.333 g cm⁻³

Cell lengths 5.6500, 5.6500, 5.6500 Å; angles 142.08, 111.19, 81.36 degrees
Sites, in units of the cell vectors:
K1 0.0000 0.0000 0.0000
Cu1 0.4853 0.4853 0.0000
Cu2 0.6569 0.1569 0.5000
Cl1 0.2996 0.7996 0.5000

***

(12)
The following is a PBE calculation of a geometry-optimized K2CuCl4 structure, from the Alexandria database.

Computed properties:
Magnetization = 4.1 μB/cell
D(E_F) = 0.4 states/eV/f.u.
E = -91.8 eV per cell
Density = 2.226 g cm⁻³

Cell lengths 8.6754, 7.7061, 12.6546 Å; angles 90.00, 90.00, 90.00 degrees
Sites, in units of the cell vectors:
K1 0.0237 0.2500 0.2156
K2 0.1396 0.2500 0.5822
K3 0.3604 0.7500 0.0822
K4 0.4763 0.7500 0.7156
K5 0.5237 0.2500 0.2844
K6 0.6396 0.2500 0.9178
K7 0.8604 0.7500 0.4178
K8 0.9763 0.7500 0.7844
Cu1 0.2017 0.2500 0.9107
Cu2 0.2983 0.7500 0.4107
Cu3 0.7017 0.2500 0.5893
Cu4 0.7983 0.7500 0.0893
Cl1 0.0177 0.7500 0.1859
Cl2 0.1800 0.7500 0.5734
Cl3 0.2426 0.0313 0.3798
Cl4 0.2426 0.4687 0.3798
Cl5 0.2574 0.5313 0.8798
Cl6 0.2574 0.9687 0.8798
Cl7 0.3200 0.2500 0.0734
Cl8 0.4823 0.2500 0.6859
Cl9 0.5177 0.7500 0.3141
Cl10 0.6800 0.7500 0.9266
Cl11 0.7426 0.0313 0.1202
Cl12 0.7426 0.4687 0.1202
Cl13 0.7574 0.5313 0.6202
Cl14 0.7574 0.9687 0.6202
Cl15 0.8200 0.2500 0.4266
Cl16 0.9823 0.2500 0.8141